(1)
# TaIn3Ge, optimized geometry, DFT PBE
# D(E_F) = 3.068 states/eV/cell
# E_tot = -20.223 eV for the cell shown
# Magnetization = 0.00 μB per formula unit
# Polymorph energy (0 for the lowest one) = 0.000 eV/atom
data_TaIn3Ge
_chemical_formula_sum 'Ta1 In3 Ge1'
_space_group_name_H-M_alt 'P m -3 m'
_space_group_IT_number 221
_space_group_name_Hall '-P 4 2 3'
_cell_length_a 5.3967
_cell_length_b 5.3967
_cell_length_c 5.3967
_cell_angle_alpha 90.00
_cell_angle_beta 90.00
_cell_angle_gamma 90.00
loop_
_atom_site_label
_atom_site_type_symbol
_atom_site_fract_x
_atom_site_fract_y
_atom_site_fract_z
_atom_site_occupancy
Ta1 Ta 0.0000 0.0000 0.0000 1
In1 In 0.0000 0.0000 0.5000 1
Ge1 Ge 0.5000 0.5000 0.5000 1

(2)
# Ta3InGe, optimized geometry, DFT PBE
# D(E_F) = 13.800 states/eV/cell
# E_tot = -31.995 eV for the cell shown
# Magnetization = 0.01 μB per formula unit
# Polymorph energy (0 for the lowest one) = 1.204 eV/atom
data_Ta3InGe
_chemical_formula_sum 'Ta3 In1 Ge1'
_space_group_name_H-M_alt 'P m -3 m'
_space_group_IT_number 221
_space_group_name_Hall '-P 4 2 3'
_cell_length_a 5.0059
_cell_length_b 5.0059
_cell_length_c 5.0059
_cell_angle_alpha 90.00
_cell_angle_beta 90.00
_cell_angle_gamma 90.00
loop_
_atom_site_label
_atom_site_type_symbol
_atom_site_fract_x
_atom_site_fract_y
_atom_site_fract_z
_atom_site_occupancy
Ta1 Ta 0.0000 0.0000 0.5000 1
In1 In 0.0000 0.0000 0.0000 1
Ge1 Ge 0.5000 0.5000 0.5000 1

(3)
# Ta3InGe, optimized geometry, DFT PBE
# D(E_F) = 6.666 states/eV/cell
# E_tot = -38.017 eV for the cell shown
# Magnetization = 1.35 μB per formula unit
# Polymorph energy (0 for the lowest one) = 0.000 eV/atom
data_Ta3InGe
_chemical_formula_sum 'Ta3 In1 Ge1'
_space_group_name_H-M_alt 'P m -3 m'
_space_group_IT_number 221
_space_group_name_Hall '-P 4 2 3'
_cell_length_a 4.7674
_cell_length_b 4.7674
_cell_length_c 4.7674
_cell_angle_alpha 90.00
_cell_angle_beta 90.00
_cell_angle_gamma 90.00
loop_
_atom_site_label
_atom_site_type_symbol
_atom_site_fract_x
_atom_site_fract_y
_atom_site_fract_z
_atom_site_occupancy
Ta1 Ta 0.0000 0.0000 0.5000 1
In1 In 0.5000 0.5000 0.5000 1
Ge1 Ge 0.0000 0.0000 0.0000 1

Copy entry 3 word for word.
# Ta3InGe, optimized geometry, DFT PBE
# D(E_F) = 6.666 states/eV/cell
# E_tot = -38.017 eV for the cell shown
# Magnetization = 1.35 μB per formula unit
# Polymorph energy (0 for the lowest one) = 0.000 eV/atom
data_Ta3InGe
_chemical_formula_sum 'Ta3 In1 Ge1'
_space_group_name_H-M_alt 'P m -3 m'
_space_group_IT_number 221
_space_group_name_Hall '-P 4 2 3'
_cell_length_a 4.7674
_cell_length_b 4.7674
_cell_length_c 4.7674
_cell_angle_alpha 90.00
_cell_angle_beta 90.00
_cell_angle_gamma 90.00
loop_
_atom_site_label
_atom_site_type_symbol
_atom_site_fract_x
_atom_site_fract_y
_atom_site_fract_z
_atom_site_occupancy
Ta1 Ta 0.0000 0.0000 0.5000 1
In1 In 0.5000 0.5000 0.5000 1
Ge1 Ge 0.0000 0.0000 0.0000 1